No. 1
Compound: ZnIn2F4
Source: the Alexandria database
Functional: PBE
Structure: relaxed

Theoretical density   5.05 g/cm³
Offset from the most stable computed form   0.012 eV/atom

```
data_ZnIn2F4
_symmetry_space_group_name_H-M 'P 1'
_symmetry_Int_Tables_number 1
_cell_length_a 7.6403
_cell_length_b 7.6403
_cell_length_c 7.6403
_cell_angle_alpha 148.39
_cell_angle_beta 148.39
_cell_angle_gamma 45.31
loop_
_symmetry_equiv_pos_as_xyz
'x,y,z'
loop_
_atom_site_label
_atom_site_type_symbol
_atom_site_fract_x
_atom_site_fract_y
_atom_site_fract_z
Zn1 Zn 0.0000 0.0000 0.0000
In1 In 0.3515 0.3515 0.0000
In2 In 0.6485 0.6485 0.0000
F1 F 0.0000 0.5000 0.5000
F2 F 0.1442 0.1442 0.0000
F3 F 0.5000 0.0000 0.5000
F4 F 0.8558 0.8558 0.0000
```

No. 2
Compound: Zn2InF
Source: the Alexandria database
Functional: PBE
Structure: relaxed

Theoretical density   6.04 g/cm³
Offset from the most stable computed form   0.000 eV/atom

```
data_Zn2InF
_symmetry_space_group_name_H-M 'P 1'
_symmetry_Int_Tables_number 1
_cell_length_a 5.9088
_cell_length_b 5.9088
_cell_length_c 5.9088
_cell_angle_alpha 100.89
_cell_angle_beta 100.89
_cell_angle_gamma 128.47
loop_
_symmetry_equiv_pos_as_xyz
'x,y,z'
loop_
_atom_site_label
_atom_site_type_symbol
_atom_site_fract_x
_atom_site_fract_y
_atom_site_fract_z
Zn1 Zn 0.0888 0.1250 0.4638
Zn2 Zn 0.3750 0.9112 0.0362
Zn3 Zn 0.6612 0.6250 0.5362
Zn4 Zn 0.8750 0.3388 0.9638
In1 In 0.2500 0.7500 0.5000
In2 In 0.5000 0.5000 0.0000
F1 F 0.0000 0.0000 0.0000
F2 F 0.7500 0.2500 0.5000
```

No. 3
Compound: Zn3In2F8
Source: the Alexandria database
Functional: PBE
Structure: relaxed

Theoretical density   4.16 g/cm³

```
data_Zn3In2F8
_symmetry_space_group_name_H-M 'P 1'
_symmetry_Int_Tables_number 1
_cell_length_a 7.7776
_cell_length_b 7.7776
_cell_length_c 5.4358
_cell_angle_alpha 107.34
_cell_angle_beta 107.34
_cell_angle_gamma 47.83
loop_
_symmetry_equiv_pos_as_xyz
'x,y,z'
loop_
_atom_site_label
_atom_site_type_symbol
_atom_site_fract_x
_atom_site_fract_y
_atom_site_fract_z
Zn1 Zn 0.0000 0.0000 0.0000
Zn2 Zn 0.2555 0.7445 0.5000
Zn3 Zn 0.7445 0.2555 0.5000
In1 In 0.3079 0.3079 0.8404
In2 In 0.6921 0.6921 0.1596
F1 F 0.0775 0.0775 0.3986
F2 F 0.1539 0.6862 0.1099
F3 F 0.3138 0.8461 0.8901
F4 F 0.4125 0.4125 0.5548
F5 F 0.5875 0.5875 0.4452
F6 F 0.6862 0.1539 0.1099
F7 F 0.8461 0.3138 0.8901
F8 F 0.9225 0.9225 0.6014
```

No. 4
Compound: Zn2In3F8
Source: the Alexandria database
Functional: PBE
Structure: relaxed

Theoretical density   3.92 g/cm³

```
data_Zn2In3F8
_symmetry_space_group_name_H-M 'P 1'
_symmetry_Int_Tables_number 1
_cell_length_a 6.5011
_cell_length_b 6.5011
_cell_length_c 8.5620
_cell_angle_alpha 115.24
_cell_angle_beta 115.24
_cell_angle_gamma 57.08
loop_
_symmetry_equiv_pos_as_xyz
'x,y,z'
loop_
_atom_site_label
_atom_site_type_symbol
_atom_site_fract_x
_atom_site_fract_y
_atom_site_fract_z
Zn1 Zn 0.1429 0.1429 0.4032
Zn2 Zn 0.8571 0.8571 0.5968
In1 In 0.2035 0.2035 0.8900
In2 In 0.5000 0.5000 0.5000
In3 In 0.7965 0.7965 0.1100
F1 F 0.2239 0.7679 0.6796
F2 F 0.2321 0.7761 0.3204
F3 F 0.2465 0.2465 0.6597
F4 F 0.2754 0.2754 0.3255
F5 F 0.7246 0.7246 0.6745
F6 F 0.7535 0.7535 0.3403
F7 F 0.7679 0.2239 0.6796
F8 F 0.7761 0.2321 0.3204
```

| no. | formation energy from raw total energies (meV per atom) |
| --- | --- |
| 1 | -1904 |
| 2 | -553 |
| 3 | -2121 |
| 4 | -1996 |